(1)
Pr4NdHo6 | PBE-GGA | relaxed

Crystal system   tetragonal
M_tot   0.000 μB per formula unit
Theoretical density   7334 kg/m³
Raw total energy   -4.37 eV per atom
Energy relative to the lowest polymorph listed for this composition   0.150 eV per atom

The structure in extended XYZ format:
```
11
Lattice="7.515 -2.877 -5.472 -5.178 8.033 1.835 -1.855 2.877 9.110" Properties=species:S:1:pos:R:3 pbc="T T T"
Pr -3.305 5.128 1.298
Pr 0.290 2.905 1.926
Pr -1.252 1.942 5.794
Pr -2.283 8.968 7.399
Nd 0.000 0.000 0.000
Ho -4.967 7.705 5.524
Ho -3.789 5.878 8.102
Ho -1.238 5.032 4.131
Ho 1.169 2.578 -1.819
Ho 3.444 0.328 -1.341
Ho 2.830 0.000 1.819
```


(2)
Th2HgI8 | PBE-GGA | relaxed

ΔE_f (raw)   -98.5 kJ/mol of atoms
Crystal system   monoclinic
M_tot   0.000 μB per formula unit
Theoretical density   6221 kg/m³
Raw total energy   -3.53 eV per atom

The structure in extended XYZ format:
```
11
Lattice="-2.244 -5.915 -0.204 -2.817 2.172 -8.062 8.481 -2.394 0.081" Properties=species:S:1:pos:R:3 pbc="T T T"
I 2.072 -2.079 -7.634
I 5.151 -3.323 -5.415
I 1.605 -4.713 -4.870
I 3.260 -7.113 -2.231
I -2.119 -4.939 -6.109
I 1.779 -1.423 -3.266
I -1.766 -2.813 -2.721
I 1.313 -4.057 -0.502
Hg 5.646 -0.222 -7.957
Th -0.349 -2.243 -5.540
Th 3.734 -3.893 -2.597
```


(3)
Bi2SbP2 | PBE-GGA | relaxed

ΔE_f (raw)   31.3 kJ/mol of atoms
Crystal system   tetragonal
M_tot   0.000 μB per formula unit
Theoretical density   7938 kg/m³
Raw total energy   -4.22 eV per atom
Energy relative to the lowest polymorph listed for this composition   0.000 eV per atom

The structure in extended XYZ format:
```
10
Lattice="7.991 0.000 0.000 0.000 7.991 0.000 0.000 0.000 3.942" Properties=species:S:1:pos:R:3 pbc="T T T"
Sb 0.000 0.000 0.000
Sb 3.996 3.996 0.000
Bi 1.276 5.272 1.971
Bi 5.272 6.715 1.971
Bi 6.715 2.720 1.971
Bi 2.720 1.276 1.971
P 2.639 6.635 0.000
P 6.635 5.352 0.000
P 5.352 1.357 0.000
P 1.357 2.639 0.000
```


(4)
K2Ca2C3O9 | PBE-GGA | relaxed

ΔE_f (raw)   -201.0 kJ/mol of atoms
Crystal system   trigonal
M_tot   0.000 μB per formula unit
Theoretical density   2545 kg/m³
Raw total energy   -6.99 eV per atom

The structure in extended XYZ format:
```
32
Lattice="-3.283 -6.972 2.744 4.106 3.474 6.163 -6.101 5.014 -2.134" Properties=species:S:1:pos:R:3 pbc="T T T"
C -5.206 4.345 0.147
C -3.948 -4.550 3.118
C 1.854 2.301 6.105
C -2.655 -1.376 5.081
C -1.807 2.951 4.774
C -5.188 1.197 2.532
Ca -2.351 0.675 3.017
Ca 0.974 2.461 2.828
Ca -3.564 1.438 -0.479
Ca -1.105 -2.838 2.394
K -4.593 1.319 5.896
K -2.344 4.734 2.219
K -5.279 -1.747 1.383
K 0.422 -0.919 5.640
O -2.922 -2.229 6.037
O -1.642 3.896 5.663
O -6.459 1.499 2.447
O -4.781 0.278 3.347
O -2.324 -0.156 5.359
O -2.958 2.768 4.211
O -0.807 2.177 4.471
O -4.328 1.843 1.802
O -2.745 -1.757 3.841
O 2.189 1.067 6.331
O -4.289 5.244 0.348
O -4.761 -4.340 2.126
O -5.012 3.355 -0.673
O -2.661 -4.596 2.938
O 2.055 2.854 4.946
O -1.130 2.243 1.579
O -2.795 -0.454 0.886
O -0.252 -0.589 2.897
```